# Y2PbAu

An optimized crystal structure of Y2PbAu (PBEsol, Alexandria via LeMat-Bulk).

a = 3.561 Å, b = 3.561 Å, c = 8.266 Å
α = 90.00°, β = 90.00°, γ = 90.00°
Fractional coordinates of all 4 atoms:
Y 0.000 0.000 0.985
Pb 0.500 0.500 0.719
Au 0.000 0.000 0.490
Y 0.500 0.500 0.306

Computed properties:
M_tot ... 0.0 μB/cell
DFT formation energy ... -1.56 eV per formula unit

***

# Ca3PC

An optimized crystal structure of Ca3PC (PBEsol, Alexandria via LeMat-Bulk).

a = 5.275 Å, b = 5.275 Å, c = 5.275 Å
α = 90.00°, β = 90.00°, γ = 90.00°
Fractional coordinates of all 5 atoms:
Ca 0.500 0.000 0.000
C 0.500 0.500 0.500
Ca 0.000 0.000 0.500
P 0.000 0.000 0.000
Ca 0.000 0.500 0.000

Computed properties:
M_tot ... 1.0 μB/cell
DFT formation energy ... 2.65 eV per formula unit

***

# ZrOs2Ru

An optimized crystal structure of ZrOs2Ru (PBEsol, Alexandria via LeMat-Bulk).

a = 3.033 Å, b = 4.502 Å, c = 4.502 Å
α = 90.00°, β = 90.00°, γ = 90.00°
Fractional coordinates of all 4 atoms:
Ru 0.500 0.500 0.500
Os 0.000 0.500 0.000
Os 0.000 0.000 0.500
Zr 0.500 0.000 0.000

Computed properties:
M_tot ... 0.1 μB/cell
Energy above the lowest structure with this stoichiometry ... 130.3 meV/atom
DFT formation energy ... 0.64 eV per formula unit

***

# HfFeO3

An optimized crystal structure of HfFeO3 (PBEsol, Alexandria via LeMat-Bulk).

a = 5.327 Å, b = 5.378 Å, c = 7.732 Å
α = 90.00°, β = 90.00°, γ = 90.00°
Fractional coordinates of all 20 atoms:
O 0.125 0.913 0.250
Hf 0.000 0.000 0.000
Fe 0.487 0.038 0.250
O 0.875 0.087 0.750
Hf 0.000 0.000 0.500
Hf 0.500 0.500 0.500
O 0.664 0.832 0.431
Fe 0.013 0.538 0.250
O 0.836 0.332 0.431
Fe 0.513 0.962 0.750
O 0.164 0.668 0.931
O 0.336 0.168 0.569
Hf 0.500 0.500 0.000
O 0.375 0.413 0.250
O 0.664 0.832 0.069
O 0.836 0.332 0.069
O 0.164 0.668 0.569
O 0.625 0.587 0.750
Fe 0.987 0.462 0.750
O 0.336 0.168 0.931

Computed properties:
Raw formation energy ... -1135 kJ/mol of formula units
M_tot ... 16.0 μB/cell

***

# La5Mg

An optimized crystal structure of La5Mg (PBEsol, Alexandria via LeMat-Bulk).

a = 5.024 Å, b = 5.122 Å, c = 7.904 Å
α = 90.00°, β = 108.53°, γ = 90.00°
Fractional coordinates of all 6 atoms:
La 0.000 0.500 0.000
Mg 0.500 0.000 0.000
La 0.171 0.000 0.343
La 0.337 0.500 0.674
La 0.663 0.500 0.326
La 0.829 0.000 0.657

Computed properties:
M_tot ... 0.0 μB/cell
Energy above the lowest structure with this stoichiometry ... 19.6 meV/atom
DFT formation energy ... -0.02 eV per formula unit

***

# VCrP2O8F2

An optimized crystal structure of VCrP2O8F2 (PBEsol, Alexandria via LeMat-Bulk).

a = 5.064 Å, b = 5.116 Å, c = 7.195 Å
α = 109.95°, β = 107.84°, γ = 94.36°
Fractional coordinates of all 14 atoms:
F 0.154 0.319 0.258
O 0.742 0.190 0.887
P 0.420 0.123 0.752
P 0.580 0.877 0.248
O 0.339 0.825 0.579
O 0.252 0.133 0.901
O 0.350 0.352 0.665
O 0.650 0.648 0.335
Cr 0.500 0.500 0.500
O 0.661 0.175 0.421
O 0.258 0.810 0.113
O 0.748 0.867 0.099
V 0.000 0.000 0.000
F 0.846 0.681 0.742

Computed properties:
Raw formation energy ... -3040 kJ/mol of formula units
M_tot ... 3.0 μB/cell

***

# K3SrPCO7

An optimized crystal structure of K3SrPCO7 (PBEsol, Alexandria via LeMat-Bulk).

a = 5.611 Å, b = 7.439 Å, c = 9.953 Å
α = 90.00°, β = 91.00°, γ = 90.00°
Fractional coordinates of all 26 atoms:
C 0.252 0.750 0.926
O 0.046 0.750 0.864
P 0.298 0.250 0.591
O 0.787 0.920 0.332
O 0.554 0.250 0.144
Sr 0.775 0.250 0.378
P 0.702 0.750 0.409
O 0.954 0.250 0.136
K 0.242 0.250 0.917
K 0.747 0.497 0.748
O 0.264 0.750 0.056
O 0.787 0.580 0.332
O 0.736 0.250 0.944
O 0.575 0.250 0.589
O 0.213 0.420 0.668
Sr 0.225 0.750 0.622
O 0.213 0.080 0.668
K 0.253 0.997 0.252
O 0.446 0.750 0.856
K 0.747 0.003 0.748
O 0.203 0.250 0.443
K 0.253 0.503 0.252
C 0.748 0.250 0.074
O 0.425 0.750 0.411
K 0.758 0.750 0.083
O 0.797 0.750 0.557

Computed properties:
Raw formation energy ... -2834 kJ/mol of formula units
M_tot ... 0.0 μB/cell

***

# Hf2BiBrN

An optimized crystal structure of Hf2BiBrN (PBEsol, Alexandria via LeMat-Bulk).

a = 5.745 Å, b = 5.476 Å, c = 5.476 Å
α = 90.00°, β = 90.00°, γ = 90.00°
Fractional coordinates of all 5 atoms:
Bi 0.000 0.000 0.000
Hf 0.000 0.000 0.500
Br 0.500 0.000 0.000
Hf 0.000 0.500 0.000
N 0.500 0.500 0.500

Computed properties:
Raw formation energy ... 1093 kJ/mol of formula units
M_tot ... 0.5 μB/cell

***

# ScBe2Ge2

An optimized crystal structure of ScBe2Ge2 (PBEsol, Alexandria via LeMat-Bulk).

a = 3.734 Å, b = 3.734 Å, c = 5.765 Å
α = 108.90°, β = 108.90°, γ = 90.00°
Fractional coordinates of all 5 atoms:
Ge 0.620 0.620 0.241
Be 0.250 0.750 0.500
Be 0.750 0.250 0.500
Ge 0.380 0.380 0.759
Sc 0.000 0.000 0.000

Computed properties:
M_tot ... 0.0 μB/cell
DFT formation energy ... -1.23 eV per formula unit

***

# KTlAs2

An optimized crystal structure of KTlAs2 (PBEsol, Alexandria via LeMat-Bulk).

a = 3.634 Å, b = 6.008 Å, c = 6.410 Å
α = 110.44°, β = 90.00°, γ = 107.60°
Fractional coordinates of all 4 atoms:
As 0.744 0.487 0.867
K 0.000 0.000 0.500
As 0.256 0.513 0.133
Tl 0.500 0.000 0.000

Computed properties:
M_tot ... 0.0 μB/cell
Energy above the lowest structure with this stoichiometry ... 50.0 meV/atom
DFT formation energy ... -0.60 eV per formula unit

***

# LiSi

An optimized crystal structure of LiSi (PBEsol, Alexandria via LeMat-Bulk).

a = 2.557 Å, b = 2.557 Å, c = 4.122 Å
α = 90.00°, β = 90.00°, γ = 90.00°
Fractional coordinates of all 2 atoms:
Si 0.500 0.500 0.500
Li 0.000 0.000 0.000

Computed properties:
Raw formation energy ... -40 kJ/mol of formula units
M_tot ... 0.0 μB/cell